P) {
  "formula": "Ca2MnAlO5",
  "functional": "GGA+U",
  "state": "relaxed",
  "lattice_angstrom": [[-7.4343, 2.8053, 2.6721], [7.4343, -2.8053, 2.6721], [7.4343, 2.8053, -2.6721]],
  "species": ["Ca", "Ca", "Ca", "Ca", "Mn", "Mn", "Al", "Al", "O", "O", "O", "O", "O", "O", "O", "O", "O", "O"],
  "fractional_positions": [[0.0299, 0.1119, 0.1417], [0.0299, 0.3881, 0.4180], [0.9701, 0.6119, 0.5820], [0.9701, 0.8881, 0.8583], [0.4887, 0.4887, 0.0000], [0.4887, 0.9887, 0.5000], [0.4536, 0.7765, 0.1772], [0.5993, 0.2765, 0.8228], [0.0045, 0.6093, 0.8952], [0.3821, 0.1040, 0.5755], [0.3821, 0.3066, 0.7781], [0.4944, 0.2259, 0.2391], [0.4944, 0.7552, 0.7685], [0.5285, 0.6040, 0.2219], [0.5285, 0.8066, 0.4245], [0.7140, 0.1093, 0.1048], [0.9867, 0.2552, 0.7609], [0.9867, 0.7259, 0.2315]],
  "magmom_total_mub_per_atom": 0.44,
  "n_ef_per_ev_cell": 1.151
}

=====

Q) {
  "formula": "Ca2MnAlO5",
  "functional": "GGA+U",
  "state": "relaxed",
  "lattice_angstrom": [[1.5886, -6.2223, 0.0000], [1.5886, 6.2223, 0.0000], [0.0000, 0.0000, 10.4181]],
  "species": ["Ca", "Ca", "Ca", "Ca", "Mn", "Mn", "Al", "Al", "O", "O", "O", "O", "O", "O", "O", "O", "O", "O"],
  "fractional_positions": [[0.0947, 0.9053, 0.5000], [0.1506, 0.8494, 0.1239], [0.8494, 0.1506, 0.6239], [0.9053, 0.0947, 0.0000], [0.2192, 0.7808, 0.8507], [0.7808, 0.2192, 0.3507], [0.4672, 0.5328, 0.2755], [0.5328, 0.4672, 0.7755], [0.0581, 0.9419, 0.8573], [0.2747, 0.7253, 0.4766], [0.3127, 0.6873, 0.2320], [0.3786, 0.6214, 0.8294], [0.4933, 0.5067, 0.6118], [0.5067, 0.4933, 0.1118], [0.6214, 0.3786, 0.3294], [0.6873, 0.3127, 0.7320], [0.7253, 0.2747, 0.9766], [0.9419, 0.0581, 0.3573]],
  "magmom_total_mub_per_atom": 0.22,
  "n_ef_per_ev_cell": 0.000
}

=====

In terms of stability, P) leads; the second structure lies 0.176 eV/atom higher.